Record 1
A plane-wave DFT calculation with PBE was carried out for a geometry-optimized Zn2GaHgS structure.

Cell and atoms, written as POSCAR:
```
Zn2GaHgS
1.0
4.734 0.000 0.000
0.000 5.287 0.000
0.000 0.000 4.734
Ga Hg Zn S
1 1 2 1
direct
0.000 0.000 0.000
0.000 0.500 0.000
0.500 0.000 0.000
0.000 0.000 0.500
0.500 0.500 0.500
```

=====

Record 2
A plane-wave DFT calculation with PBE was carried out for a geometry-optimized Ga2HgSb2 structure.

Cell and atoms, written as POSCAR:
```
Ga2HgSb2
1.0
4.326 0.000 0.000
0.000 4.326 0.000
2.163 2.163 7.680
Sb Ga Hg
2 2 1
direct
0.366 0.366 0.267
0.634 0.634 0.733
0.250 0.750 0.500
0.750 0.250 0.500
0.000 0.000 0.000
```

=====

Record 3
A plane-wave DFT calculation with PBE was carried out for a geometry-optimized GaHg3Sb structure.

Cell and atoms, written as POSCAR:
```
GaHg3Sb
1.0
5.255 0.000 0.000
0.000 5.255 0.000
0.000 0.000 5.255
Hg Ga Sb
3 1 1
direct
0.000 0.500 0.000
0.000 0.000 0.500
0.500 0.000 0.000
0.000 0.000 0.000
0.500 0.500 0.500
```

=====

Record 4
A plane-wave DFT calculation with PBE was carried out for a geometry-optimized GaHg2Sb2 structure.

Cell and atoms, written as POSCAR:
```
GaHg2Sb2
1.0
-2.536 2.674 -1.609
0.495 -1.702 -3.610
-7.744 -4.914 -0.985
Sb Hg Ga
2 2 1
direct
0.419 0.419 0.162
0.581 0.581 0.838
0.750 0.250 0.500
0.250 0.750 0.500
0.000 0.000 0.000
```

=====

no.,formation energy without anion corrections (eV/atom)
1,0.43
2,0.04
3,0.35
4,0.19